{"formula": "RbMnCr2Br8", "functional": "PBE", "state": "optimized geometry", "lattice_angstrom": [[6.4748, 0.3549, -0.1910], [0.4284, 6.2592, -0.4237], [-0.2145, -0.5325, 10.3593]], "species": ["Br", "Br", "Br", "Br", "Br", "Br", "Br", "Br", "Cr", "Cr", "Rb", "Mn"], "fractional_positions": [[0.1724, 0.7454, 0.8074], [0.8190, 0.2073, 0.8150], [0.6075, 0.6979, 0.3907], [0.8276, 0.2546, 0.1926], [0.3925, 0.3021, 0.6093], [0.3395, 0.2785, 0.0061], [0.1810, 0.7927, 0.1850], [0.6605, 0.7215, 0.9939], [0.4829, 0.4620, 0.8273], [0.5171, 0.5380, 0.1727], [0.0000, 0.0000, 0.5000], [0.0000, 0.0000, 0.0000]], "sg": "P-1, No. 2", "density_g_cm3": 3.52, "e_form_raw_kcal_per_mol_atoms": -18.7, "dft_energy_ev_per_cell": -52.517}

---

{"formula": "Li3Ho4Ir2", "functional": "PBE", "state": "optimized geometry", "lattice_angstrom": [[2.3935, 4.1226, -0.4396], [-2.3935, 4.1226, -0.4396], [0.0000, 1.0321, 9.6404]], "species": ["Ir", "Ir", "Ho", "Ho", "Ho", "Ho", "Li", "Li", "Li"], "fractional_positions": [[0.6668, 0.6668, 0.7999], [0.3332, 0.3332, 0.2001], [0.0002, 0.0002, 0.6891], [0.9998, 0.9998, 0.3109], [0.3334, 0.3334, 0.8885], [0.6666, 0.6666, 0.1115], [0.3333, 0.3333, 0.4938], [0.6667, 0.6667, 0.5062], [0.0000, 0.0000, 0.0000]], "sg": "P-3m1, No. 164", "e_form_ev_per_atom": -0.46, "density_g_cm3": 9.19, "dft_energy_ev_per_cell": -45.943}

---

{"formula": "TlCrSeS", "functional": "PBE", "state": "optimized geometry", "lattice_angstrom": [[3.6956, -0.0003, 0.0006], [-1.8472, 3.1999, 0.0001], [-1.8440, -1.0640, 7.5548]], "species": ["Cr", "S", "Se", "Tl"], "fractional_positions": [[0.2952, 0.5456, 0.8560], [0.5197, 0.1579, 0.6923], [0.0834, 0.9396, 0.0386], [0.9795, 0.3877, 0.3828]], "sg": "R3m, No. 160", "density_g_cm3": 6.83, "e_form_raw_kcal_per_mol_atoms": -12.0, "dft_energy_ev_per_cell": -21.680}

---

{"formula": "CsRb2AsH", "functional": "PBE", "state": "optimized geometry", "lattice_angstrom": [[-0.1243, 5.1233, -2.2119], [-5.5790, -0.0652, 0.1624], [0.1306, 2.3498, 5.4353]], "species": ["As", "H", "Rb", "Rb", "Cs"], "fractional_positions": [[0.5000, 0.5000, 0.5013], [0.0000, 0.0000, 0.9999], [0.5000, 0.0000, 0.9995], [0.0000, 0.5000, 0.9995], [0.0000, 0.0000, 0.4998]], "sg": "P4mm, No. 99", "density_g_cm3": 3.42, "dft_energy_ev_per_cell": -11.463}

---

{"formula": "Y2HfAg", "functional": "PBE", "state": "optimized geometry", "lattice_angstrom": [[-0.8926, 2.4107, 1.9537], [-2.1387, -0.5405, 2.3577], [7.5641, -2.0152, 8.6104]], "species": ["Ag", "Y", "Y", "Hf"], "fractional_positions": [[0.5000, 0.5000, 0.5000], [0.0925, 0.0925, 0.7226], [0.9075, 0.9075, 0.2774], [0.0000, 0.0000, 0.0000]], "sg": "R-3m, No. 166", "e_form_ev_per_atom": 0.36, "density_g_cm3": 7.43, "polymorph_energy_kcal_per_mol_atoms": 10.05, "dft_energy_ev_per_cell": -24.312}

---

{"formula": "AlAs", "functional": "PBE", "state": "optimized geometry", "lattice_angstrom": [[-4.0299, 1.0385, -3.3341], [3.1495, -1.1182, -4.1551], [-0.7793, -2.6399, 0.1197]], "species": ["As", "As", "Al", "Al"], "fractional_positions": [[0.7500, 0.2500, 0.0000], [0.2500, 0.7500, 0.0000], [0.7500, 0.7500, 0.0020], [0.2500, 0.2500, 0.9980]], "sg": "P4/nmm, No. 129", "e_form_ev_per_atom": 0.01, "density_g_cm3": 4.32, "dft_energy_ev_per_cell": -16.726}

---

{"formula": "LiCuSnHg", "functional": "PBE", "state": "optimized geometry", "lattice_angstrom": [[4.6814, 0.0000, 0.0000], [2.3407, 4.0542, 0.0000], [2.3407, 1.3514, 3.8223]], "species": ["Sn", "Hg", "Li", "Cu"], "fractional_positions": [[0.0000, 0.0000, 0.0000], [0.5000, 0.5000, 0.5000], [0.7500, 0.7500, 0.7500], [0.2500, 0.2500, 0.2500]], "sg": "F-43m, No. 216", "e_form_ev_per_atom": -0.10, "density_g_cm3": 8.92, "dft_energy_ev_per_cell": -10.715}

---

{"formula": "HgBi5Pb4", "functional": "PBE", "state": "optimized geometry", "lattice_angstrom": [[4.1727, 0.0016, -1.0462], [-0.8608, 8.2898, -3.3151], [0.4909, -2.4085, 10.4745]], "species": ["Bi", "Bi", "Bi", "Bi", "Bi", "Hg", "Pb", "Pb", "Pb", "Pb"], "fractional_positions": [[0.2773, 0.4216, 0.5613], [0.1438, 0.7710, 0.2919], [0.7227, 0.5784, 0.4387], [0.5000, 0.5000, 0.0000], [0.8562, 0.2290, 0.7081], [0.5000, 0.0000, 0.0000], [0.9339, 0.6774, 0.8693], [0.0661, 0.3226, 0.1307], [0.6649, 0.0740, 0.3266], [0.3351, 0.9260, 0.6734]], "sg": "P-1, No. 2", "e_form_ev_per_atom": 0.07, "density_g_cm3": 10.40, "polymorph_energy_kcal_per_mol_atoms": 0.00, "dft_energy_ev_per_cell": -33.829}